(1)
The following is a PBE calculation of a geometry-optimized SmIn4Au2 structure, from the Alexandria database.

Values from the calculation:
SG: Cmmm (65)
energy of formation from the pure elements: -0.294 eV per atom
energy above the most stable polymorph in this dataset: 0.782 eV per formula unit
density of states at the Fermi level: 2.61 states/eV/cell
total DFT energy (no corrections): -24.283 eV/cell

Cell: 9.0142 9.0142 4.3071 Å, 90.00 90.00 150.64°
Fractional positions:
Sm 0.0000 0.0000 0.0000
In 0.1721 0.8279 0.5000
In 0.3146 0.6854 0.0000
In 0.6854 0.3146 0.0000
In 0.8279 0.1721 0.5000
Au 0.4235 0.5765 0.5000
Au 0.5765 0.4235 0.5000



(2)
The following is a PBE calculation of a geometry-optimized Pr4HoSb5 structure, from the Alexandria database.

Values from the calculation:
E_form (uncorrected): -1.17 eV per atom
SG: I4/m (87)
density of states at the Fermi level: 1.35 states/eV/cell
total DFT energy (no corrections): -55.988 eV/cell

Cell: 7.8314 7.8314 7.8314 Å, 99.61 99.61 131.77°
Fractional positions:
Pr 0.0976 0.6995 0.7972
Pr 0.3005 0.0976 0.3981
Pr 0.6995 0.9024 0.6019
Pr 0.9024 0.3005 0.2028
Ho 0.5000 0.5000 0.0000
Sb 0.0000 0.0000 0.0000
Sb 0.2063 0.4015 0.6078
Sb 0.4015 0.7937 0.1951
Sb 0.5985 0.2063 0.8049
Sb 0.7937 0.5985 0.3922



(3)
The following is a PBE calculation of a geometry-optimized Ba2CdOsN structure, from the Alexandria database.

Values from the calculation:
E_form (uncorrected): -0.25 eV per atom
SG: P4/mmm (123)
density of states at the Fermi level: 2.99 states/eV/cell
total DFT energy (no corrections): -25.568 eV/cell

Cell: 5.9206 5.9206 3.8341 Å, 90.00 90.00 90.00°
Fractional positions:
Ba 0.0000 0.5000 0.0000
Ba 0.5000 0.0000 0.0000
Cd 0.0000 0.0000 0.5000
Os 0.5000 0.5000 0.5000
N 0.5000 0.5000 0.0000